[1]
! Hg2OsSe (PBE, relaxed); values from VASP
! V	19.3	Å³ per atom
! spin magnetization	0.00	μB/f.u.
! symmetry	No. 119
! raw formation energy	941	meV per atom
&SYSTEM
  ibrav = 0, nat = 4, ntyp = 3
/
ATOMIC_SPECIES
Se 78.96 Se.upf
Os 190.23 Os.upf
Hg 200.59 Hg.upf
ATOMIC_POSITIONS crystal
Se 0.750 0.250 0.500
Os 0.500 0.500 0.000
Hg 0.000 0.000 0.000
Hg 0.250 0.750 0.500
CELL_PARAMETERS angstrom
5.188 -0.001 0.000
1.660 4.915 0.000
-3.424 -2.457 3.025

***

[2]
! YMgGe3 (PBE, relaxed); values from VASP
! V	24.2	Å³ per atom
! spin magnetization	0.00	μB/f.u.
! symmetry	No. 221
! ΔH_f (0 K)	0.237	eV/atom
! E above lowest polymorph	0.000	eV per atom
&SYSTEM
  ibrav = 0, nat = 5, ntyp = 3
/
ATOMIC_SPECIES
Y 88.91 Y.upf
Ge 72.64 Ge.upf
Mg 24.30 Mg.upf
ATOMIC_POSITIONS crystal
Y 0.500 0.500 0.500
Ge 0.500 0.000 0.000
Ge 0.000 0.500 0.000
Ge 0.000 0.000 0.500
Mg 0.000 0.000 0.000
CELL_PARAMETERS angstrom
-2.150 3.683 -2.500
-4.194 -2.606 -0.232
-1.491 2.020 4.258

***

[3]
! NaBi2Se2 (PBE, relaxed); values from VASP
! V	32.4	Å³ per atom
! spin magnetization	0.00	μB/f.u.
! symmetry	No. 139
! raw formation energy	-276	meV per atom
! E above lowest polymorph	0.000	eV per atom
&SYSTEM
  ibrav = 0, nat = 5, ntyp = 3
/
ATOMIC_SPECIES
Na 22.99 Na.upf
Bi 208.98 Bi.upf
Se 78.96 Se.upf
ATOMIC_POSITIONS crystal
Na 0.000 0.000 0.000
Bi 0.335 0.335 0.330
Bi 0.665 0.665 0.670
Se 0.750 0.250 0.500
Se 0.250 0.750 0.500
CELL_PARAMETERS angstrom
-1.788 5.117 2.117
-3.823 0.469 -4.362
-6.099 0.548 1.523

***

[4]
! HfV2IrN (PBE, relaxed); values from VASP
! V	13.6	Å³ per atom
! spin magnetization	0.00	μB/f.u.
! symmetry	No. 123
! raw formation energy	-827	meV per atom
&SYSTEM
  ibrav = 0, nat = 5, ntyp = 4
/
ATOMIC_SPECIES
Ir 192.22 Ir.upf
N 14.01 N.upf
V 50.94 V.upf
Hf 178.49 Hf.upf
ATOMIC_POSITIONS crystal
Ir 0.500 0.500 0.500
N 0.000 0.000 0.000
V 0.000 0.500 0.000
V 0.500 0.000 0.000
Hf 0.000 0.000 0.500
CELL_PARAMETERS angstrom
3.933 0.000 0.000
0.000 3.933 0.000
0.000 0.000 4.390